Entry A
Computed, not measured: Li2CuP2 after structural relaxation at the PBE level of DFT.

Structure (POSCAR):
```
Li2CuP2
1.0
3.782 0.000 0.891
1.816 4.858 0.761
0.107 -0.152 8.019
Li Cu P
4 2 4
Direct
0.316 0.272 0.096
0.490 0.331 0.689
0.684 0.728 0.904
0.510 0.669 0.311
0.775 0.080 0.370
0.225 0.920 0.630
0.984 0.144 0.888
0.128 0.313 0.431
0.016 0.856 0.112
0.872 0.687 0.569
```

SG: No. 12
Crystal system: monoclinic
Magnetic moment, μB/f.u.: 0.0



Entry B
Computed, not measured: Li2CuP2 after structural relaxation at the PBE level of DFT.

Structure (POSCAR):
```
Li2CuP2
1.0
-1.169 4.962 -3.179
0.141 -3.216 -5.073
-3.950 -0.712 0.341
P Cu Li
4 2 4
Direct
0.370 0.870 0.000
0.870 0.630 0.000
0.630 0.130 0.000
0.130 0.370 0.000
0.000 0.000 0.000
0.500 0.500 0.000
0.172 0.672 0.500
0.672 0.828 0.500
0.828 0.328 0.500
0.328 0.172 0.500
```

SG: No. 127
Crystal system: tetragonal
Magnetic moment, μB/f.u.: 0.0



Going by the computed energies, the most stable comes first: entry A, entry B.



Entry A
Computed, not measured: Li3CuP after structural relaxation at the PBE level of DFT.

Structure (POSCAR):
```
Li3CuP
1.0
4.597 0.000 0.000
0.000 4.597 0.000
0.000 0.000 4.597
P Cu Li
1 1 3
Direct
0.000 0.000 0.000
0.500 0.500 0.500
0.000 0.500 0.000
0.000 0.000 0.500
0.500 0.000 0.000
```

SG: No. 221
Crystal system: cubic
Magnetic moment, μB/f.u.: 0.0



Entry B
Computed, not measured: Li3CuP after structural relaxation at the PBE level of DFT.

Structure (POSCAR):
```
Li3CuP
1.0
-1.841 3.922 0.870
-1.825 0.036 -4.024
-3.579 -2.036 1.605
P Cu Li
1 1 3
Direct
0.500 0.500 0.500
0.000 0.000 0.000
0.000 0.500 0.000
0.000 0.000 0.500
0.500 0.000 0.000
```

SG: No. 221
Crystal system: cubic
Magnetic moment, μB/f.u.: 0.0



Going by the computed energies, the most stable comes first: entry A, entry B.



Entry A
Computed, not measured: LiCu2P2 after structural relaxation at the PBE level of DFT.

Structure (POSCAR):
```
LiCu2P2
1.0
7.140 0.000 0.000
0.000 7.140 0.000
0.000 0.000 2.744
P Cu Li
4 4 2
Direct
0.337 0.837 0.000
0.837 0.663 0.000
0.663 0.163 0.000
0.163 0.337 0.000
0.134 0.634 0.500
0.634 0.866 0.500
0.866 0.366 0.500
0.366 0.134 0.500
0.000 0.000 0.000
0.500 0.500 0.000
```

SG: No. 127
Crystal system: tetragonal
Magnetic moment, μB/f.u.: 0.0



Entry B
Computed, not measured: LiCu2P2 after structural relaxation at the PBE level of DFT.

Structure (POSCAR):
```
LiCu2P2
1.0
-6.091 0.391 3.801
-2.753 -5.408 -3.856
0.990 -1.765 1.769
P Cu Li
4 4 2
Direct
0.169 0.669 0.500
0.669 0.831 0.500
0.831 0.331 0.500
0.331 0.169 0.500
0.370 0.870 0.000
0.870 0.630 0.000
0.630 0.130 0.000
0.130 0.370 0.000
0.000 0.000 0.000
0.500 0.500 0.000
```

SG: No. 127
Crystal system: tetragonal
Magnetic moment, μB/f.u.: 0.0



Going by the computed energies, the most stable comes first: entry B, entry A.



Entry A
Computed, not measured: LiCu2P2 after structural relaxation at the PBE level of DFT.

Structure (POSCAR):
```
LiCu2P2
1.0
-0.633 -0.420 3.830
-2.884 -2.522 -0.753
1.340 -5.050 1.658
P Cu Li
2 2 1
Direct
0.386 0.386 0.227
0.614 0.614 0.773
0.750 0.250 0.500
0.250 0.750 0.500
0.000 0.000 0.000
```

SG: No. 139
Crystal system: tetragonal
Magnetic moment, μB/f.u.: 0.0



Entry B
Computed, not measured: LiCu2P2 after structural relaxation at the PBE level of DFT.

Structure (POSCAR):
```
LiCu2P2
1.0
-3.510 -2.451 -0.702
0.193 -1.447 4.085
-4.159 1.272 2.950
P Cu Li
2 2 1
Direct
0.750 0.250 0.500
0.250 0.750 0.500
0.352 0.352 0.296
0.648 0.648 0.704
0.000 0.000 0.000
```

SG: No. 139
Crystal system: tetragonal
Magnetic moment, μB/f.u.: 0.0



Going by the computed energies, the most stable comes first: entry A, entry B.